GGA-PBE Sr2MgP3Pt4, relaxed; magnetic moment = 0.00 Bohr magnetons per cell; calculated formation energy = -0.833 eV/atom
1.0
-1.862 1.417 -3.590
-3.860 -0.701 1.725
-0.041 9.555 3.792
P Pt Mg Sr
3 4 1 2
Direct
0.500 0.000 0.874
0.000 0.000 0.500
0.000 0.500 0.126
0.500 0.500 0.000
0.500 0.000 0.642
0.000 0.500 0.358
0.000 0.000 0.000
0.500 0.500 0.500
0.500 0.000 0.244
0.000 0.500 0.756

GGA-PBE Th2MgP3Pt12, relaxed; magnetic moment = 0.00 Bohr magnetons per cell; calculated formation energy = -0.531 eV/atom
1.0
7.669 -0.290 -0.205
3.536 6.812 -0.205
3.536 2.058 6.497
Pt P Th Mg
12 3 2 1
Direct
0.348 0.348 0.895
0.382 0.866 0.866
0.866 0.866 0.382
0.348 0.895 0.348
0.652 0.105 0.652
0.866 0.382 0.866
0.134 0.134 0.618
0.895 0.348 0.348
0.105 0.652 0.652
0.652 0.652 0.105
0.134 0.618 0.134
0.618 0.134 0.134
0.000 0.500 0.000
0.000 0.000 0.500
0.500 0.000 0.000
0.388 0.388 0.388
0.612 0.612 0.612
0.000 0.000 0.000

GGA-PBE Pu2MgP, relaxed; E above lowest polymorph = 233 meV/atom; magnetic moment = 11.44 Bohr magnetons per cell; calculated formation energy = -0.194 eV/atom
1.0
-1.895 0.963 -2.809
0.947 -1.077 -3.217
-6.172 -8.411 -0.929
Pu P Mg
2 1 1
Direct
0.108 0.108 0.675
0.892 0.892 0.325
0.500 0.500 0.500
0.000 0.000 0.000

GGA-PBE Pu2MgP, relaxed; E above lowest polymorph = 0 meV/atom; magnetic moment = 12.02 Bohr magnetons per cell; calculated formation energy = -0.427 eV/atom
1.0
3.483 0.000 0.000
0.000 3.483 0.000
0.000 0.000 7.861
Mg P Pu
1 1 2
Direct
0.500 0.500 0.500
0.500 0.500 0.000
0.000 0.000 0.804
0.000 0.000 0.196

GGA-PBE Pu2MgP3Rh4, relaxed; magnetic moment = 10.03 Bohr magnetons per cell; calculated formation energy = -0.833 eV/atom
1.0
-1.510 3.450 1.168
0.840 -0.900 3.746
9.706 4.610 -1.070
P Rh Pu Mg
3 4 2 1
Direct
0.000 0.500 0.128
0.000 0.000 0.500
0.500 0.000 0.872
0.500 0.000 0.656
0.500 0.500 0.000
0.000 0.500 0.344
0.000 0.000 0.000
0.500 0.000 0.242
0.000 0.500 0.758
0.500 0.500 0.500

GGA-PBE RbMg2P2, relaxed; E above lowest polymorph = 0 meV/atom; magnetic moment = 0.00 Bohr magnetons per cell; calculated formation energy = -0.236 eV/atom
1.0
-5.070 -5.349 3.485
-3.085 -1.843 -7.317
2.163 -2.271 -0.340
Mg P Rb
4 4 2
Direct
0.127 0.373 0.000
0.873 0.627 0.000
0.373 0.873 0.000
0.627 0.127 0.000
0.840 0.340 0.500
0.340 0.160 0.500
0.660 0.840 0.500
0.160 0.660 0.500
0.500 0.500 0.000
0.000 0.000 0.000

GGA-PBE RbMg3P, relaxed; E above lowest polymorph = 0 meV/atom; magnetic moment = 0.00 Bohr magnetons per cell; calculated formation energy = 0.147 eV/atom
1.0
-0.607 4.719 -2.408
-4.770 -1.541 -1.817
-2.303 1.947 4.397
Mg P Rb
3 1 1
Direct
0.000 0.000 0.500
0.500 0.000 0.000
0.000 0.500 0.000
0.000 0.000 0.000
0.500 0.500 0.500

GGA-PBE RbMgP3, relaxed; E above lowest polymorph = 0 meV/atom; magnetic moment = 0.00 Bohr magnetons per cell; calculated formation energy = 0.494 eV/atom
1.0
-2.700 4.197 -0.373
-1.428 -0.495 4.771
3.964 2.681 1.465
P Rb Mg
3 1 1
Direct
0.000 0.000 0.500
0.500 0.000 0.000
0.000 0.500 0.000
0.500 0.500 0.500
0.000 0.000 0.000

GGA-PBE RbMgP, relaxed; magnetic moment = 0.07 Bohr magnetons per cell; calculated formation energy = -0.481 eV/atom
1.0
-1.900 3.256 -2.340
-4.221 -0.373 -1.286
-3.708 7.368 9.932
Mg P Rb
2 2 2
Direct
0.793 0.853 0.074
0.207 0.147 0.926
0.903 0.799 0.868
0.097 0.201 0.132
0.653 0.425 0.708
0.347 0.575 0.292

GGA-PBE RbMg3P, relaxed; E above lowest polymorph = 1285 meV/atom; magnetic moment = 2.20 Bohr magnetons per cell; calculated formation energy = 1.433 eV/atom
1.0
-1.568 6.887 0.820
-1.073 0.590 -7.005
-6.852 -1.669 0.909
Rb Mg P
1 3 1
Direct
0.000 0.000 0.000
0.500 0.000 0.000
0.000 0.000 0.500
0.000 0.500 0.000
0.500 0.500 0.500

GGA-PBE RbMgP3, relaxed; E above lowest polymorph = 1354 meV/atom; magnetic moment = 0.00 Bohr magnetons per cell; calculated formation energy = 1.847 eV/atom
1.0
-0.624 5.230 -0.748
-5.282 -0.600 0.215
0.127 0.768 5.263
P Mg Rb
3 1 1
Direct
0.000 0.000 0.500
0.000 0.500 0.000
0.500 0.000 0.000
0.500 0.500 0.500
0.000 0.000 0.000

GGA-PBE RbMgP, relaxed; magnetic moment = 0.00 Bohr magnetons per cell; calculated formation energy = -0.421 eV/atom
1.0
-22.118 18.005 6.769
-7.258 5.354 -0.694
4.674 -7.352 -2.435
P Rb Mg
2 2 2
Direct
0.382 0.038 0.962
0.618 0.962 0.038
0.873 0.361 0.639
0.127 0.639 0.361
0.471 0.746 0.254
0.529 0.254 0.746